The following is a DFT calculation (PBE-GGA) of a geometry-optimized Pr3ZrP4 structure.

```
Pr3ZrP4
1.0
4.093 -5.758 0.000
4.093 5.758 0.000
0.000 0.000 4.072
Pr Zr P
3 1 4
Cartesian
0.000 0.000 0.000 Pr
2.047 2.879 2.036 Pr
2.047 -2.879 2.036 Pr
4.093 0.000 0.000 Zr
4.093 2.748 0.000 P
2.210 0.000 2.036 P
5.977 0.000 2.036 P
4.093 -2.748 0.000 P
```

Computed properties:
V: 24.0 A^3/atom
Spin magnetization: 0.000 μB/f.u.
E_tot: -7.01 eV per atom